A relaxed Cr2MoRhAu crystal, computed with PBE.

Cell lengths 4.335, 4.997, 4.335 Å; angles 90.00, 90.00, 90.00 degrees
Element x y z (fractional)
Rh1 0.500 0.500 0.500
Mo1 0.000 0.000 0.000
Au1 0.000 0.500 0.000
Cr1 0.000 0.000 0.500
Cr2 0.500 0.000 0.000

Calculated total energy (eV per atom): -6.4782
ρ (g cm⁻³): 8.8
Energy relative to the elements (kJ/mol of atoms): 160
Symmetry: No. 123